First-principles (GGA-PBE) data for crystalline Sc5Co4Hg at its relaxed geometry, as listed in the Alexandria database.

Calculated values
The value obtained for the formation energy from the elements is -0.373 eV/atom. The crystal system is tetragonal.

a b c (Å): 3.159 3.159 16.569
angles (deg): 90.00 90.00 90.00
Space group P4/mmm (No. 123)
Inequivalent atoms, fractional coordinates:
Sc (0.000, 0.000, 0.000) [1 per cell]
Sc (0.000, 0.000, 0.186) [2 per cell]
Sc (0.000, 0.000, 0.372) [2 per cell]
Co (0.500, 0.500, 0.093) [2 per cell]
Co (0.500, 0.500, 0.282) [2 per cell]
Hg (0.500, 0.500, 0.500) [1 per cell]